Entry 1:
# NiHgRu2N

Crystalline NiHgRu2N at its relaxed geometry (PBE-GGA, Alexandria).

POSCAR file:
```
NiHgRu2N
1.0
4.071 0.000 0.000
0.000 4.071 0.000
0.000 0.000 4.004
Ni Hg Ru N
1 1 2 1
direct
0.000 0.000 0.000
0.500 0.500 0.000
0.000 0.500 0.500
0.500 0.000 0.500
0.000 0.000 0.500
```

Properties
The calculation puts the density of states at the Fermi level at 6.76 states/eV/f.u. As for the space-group type: P4/mmm, No. 123. Its uncorrected energy is -6.29 eV per atom.

---

Entry 2:
# Ac6Pt3Au2

Crystalline Ac6Pt3Au2 at its relaxed geometry (PBE-GGA, Alexandria).

POSCAR file:
```
Ac6Pt3Au2
1.0
3.859 -6.684 0.000
3.859 6.684 0.000
-2.574 0.000 7.331
Ac Pt Au
6 3 2
direct
0.074 0.410 0.230
0.254 0.254 0.771
0.410 0.074 0.230
0.590 0.926 0.770
0.746 0.746 0.229
0.926 0.590 0.770
0.000 0.000 0.000
0.334 0.666 0.000
0.666 0.334 0.000
0.166 0.834 0.500
0.834 0.166 0.500
```

Properties
The calculation puts the density of states at the Fermi level at 5.24 states/eV/f.u. As for the space-group type: C2/m, No. 12. Its calculated formation energy is -967 meV per atom. Its uncorrected energy is -5.45 eV per atom.

---

Entry 3:
# TbZr2Co

Crystalline TbZr2Co at its relaxed geometry (PBE-GGA, Alexandria).

POSCAR file:
```
TbZr2Co
1.0
3.266 0.000 0.000
0.000 3.266 0.000
0.000 0.000 7.988
Tb Zr Co
1 2 1
direct
0.000 0.000 0.000
0.500 0.500 0.306
0.500 0.500 0.694
0.000 0.000 0.500
```

Properties
The calculation puts the density of states at the Fermi level at 6.30 states/eV/f.u. As for the space-group type: P4/mmm, No. 123. Its calculated formation energy is -10 meV per atom. Its uncorrected energy is -7.22 eV per atom.

---

Entry 4:
# RbNpCuI5

Crystalline RbNpCuI5 at its relaxed geometry (PBE-GGA, Alexandria).

POSCAR file:
```
RbNpCuI5
1.0
5.102 -6.794 0.000
5.102 6.794 0.000
-4.580 0.000 10.500
Rb Np Cu I
2 2 2 10
direct
0.139 0.861 0.750
0.861 0.139 0.250
0.500 0.500 0.000
0.500 0.500 0.500
0.193 0.807 0.250
0.807 0.193 0.750
0.111 0.270 0.928
0.179 0.590 0.380
0.270 0.111 0.428
0.409 0.591 0.750
0.410 0.821 0.120
0.590 0.179 0.880
0.591 0.409 0.250
0.730 0.889 0.572
0.821 0.410 0.620
0.889 0.730 0.072
```

Properties
The calculation puts the density of states at the Fermi level at 5.34 states/eV/f.u. As for the space-group type: C2/c, No. 15. Its uncorrected energy is -4.04 eV per atom.

---

- The highest uncorrected energy belongs to which entry?
  RbNpCuI5

---

- Which value of uncorrected energy does entry 2 give?
  -5.45 eV per atom